[1]
DFT (PBE) results for B4AsIr after structural relaxation.

## Properties
Offset from the most stable computed form ... 0.000 eV/atom
Space group ... P6/mmm (191)

abc: 3.109 3.109 6.866
angles: 90.00 90.00 120.00
Fractional positions:
B 0.333 0.667 0.237
B 0.333 0.667 0.763
B 0.667 0.333 0.237
B 0.667 0.333 0.763
As 0.000 0.000 0.500
Ir 0.000 0.000 0.000

[2]
DFT (PBE) results for B4AsIr after structural relaxation.

## Properties
Offset from the most stable computed form ... 0.023 eV/atom
Space group ... Immm (71)

abc: 4.677 4.677 4.677
angles: 141.97 109.52 83.00
Fractional positions:
B 0.084 0.250 0.834
B 0.415 0.250 0.166
B 0.585 0.750 0.834
B 0.916 0.750 0.166
As 0.500 0.000 0.500
Ir 0.000 0.500 0.500

[3]
DFT (PBE) results for LaNdB2As2Ir2 after structural relaxation.

## Properties
Final energy ... -56.85 eV for the cell shown
Space group ... P4mm (99)

abc: 4.079 4.079 8.700
angles: 90.00 90.00 90.00
Fractional positions:
La 0.000 0.000 0.000
Nd 0.500 0.500 0.589
B 0.000 0.000 0.391
B 0.500 0.500 0.189
As 0.000 0.000 0.638
As 0.500 0.500 0.938
Ir 0.000 0.500 0.292
Ir 0.500 0.000 0.292

[4]
DFT (PBE) results for LaPrB2As2Ir2 after structural relaxation.

## Properties
Final energy ... -56.81 eV for the cell shown
Space group ... P4mm (99)

abc: 4.093 4.093 8.713
angles: 90.00 90.00 90.00
Fractional positions:
La 0.000 0.000 0.000
Pr 0.500 0.500 0.412
B 0.000 0.000 0.609
B 0.500 0.500 0.810
As 0.000 0.000 0.361
As 0.500 0.500 0.060
Ir 0.000 0.500 0.708
Ir 0.500 0.000 0.708

[5]
DFT (PBE) results for PrNdB2As2Ir2 after structural relaxation.

## Properties
Final energy ... -56.55 eV for the cell shown
Space group ... P4mm (99)

abc: 4.061 4.061 8.713
angles: 90.00 90.00 90.00
Fractional positions:
Pr 0.000 0.000 0.000
Nd 0.500 0.500 0.587
B 0.000 0.000 0.394
B 0.500 0.500 0.191
As 0.000 0.000 0.643
As 0.500 0.500 0.942
Ir 0.000 0.500 0.293
Ir 0.500 0.000 0.293

[6]
DFT (PBE) results for NdSmB2As2Ir2 after structural relaxation.

## Properties
Final energy ... -56.63 eV for the cell shown
Space group ... P4mm (99)

abc: 4.039 4.039 8.667
angles: 90.00 90.00 90.00
Fractional positions:
Nd 0.000 0.000 0.000
Sm 0.500 0.500 0.413
B 0.000 0.000 0.604
B 0.500 0.500 0.810
As 0.000 0.000 0.355
As 0.500 0.500 0.061
Ir 0.000 0.500 0.706
Ir 0.500 0.000 0.706